SrInAs2 after structural relaxation, computed with PBE-GGA.

Calculated values
M_tot = 0.000 μB per atom
Calculated formation energy = -494 meV/atom

Lattice parameters (Å, degrees): 7.0803 5.9850 6.3863 137.06 140.89 61.41
Element x y z (fractional)
Sr (0.8082, 0.4157, 0.7333)
As (0.0028, 0.8373, 0.7653)
As (0.3120, 0.8917, 0.7337)
In (0.3770, 0.3552, 0.7677)